Compound: MnFeAu
Source: Alexandria
Functional: PBE
Structure: optimized geometry

Cell and atoms, written as CIF:
```
data_MnFeAu
_symmetry_space_group_name_H-M 'I 4 m m'
_symmetry_Int_Tables_number 107
_symmetry_space_group_name_Hall 'I 4 -2'
_cell_length_a 2.783
_cell_length_b 2.783
_cell_length_c 11.577
_cell_angle_alpha 90.00
_cell_angle_beta 90.00
_cell_angle_gamma 90.00
loop_
_atom_site_label
_atom_site_fract_x
_atom_site_fract_y
_atom_site_fract_z
Mn1 0.000 0.000 0.000
Fe1 0.000 0.000 0.651
Au1 0.000 0.000 0.322
```

Output
Spin magnetization = 2.203 μB per atom
E_tot = -6.808 eV/atom
Calculated formation energy = 0.5 eV per formula unit
Relative energy among the computed polymorphs = 0.000 eV/atom